Record 1
Below is an optimized crystal structure of MnHgBr4, with properties calculated at the PBE-GGA level.

extended XYZ file:
```
6
Lattice="3.973 0.000 0.000 -1.986 6.959 -3.452 0.000 -0.249 7.038" Properties=species:S:1:pos:R:3 pbc="T T T"
Mn 1.986 -0.125 3.519
Hg 0.000 0.000 0.000
Br 0.000 5.350 -2.236
Br 0.000 1.437 2.533
Br 1.986 1.360 5.823
Br 1.986 5.273 1.053
```

symmetry	No. 12
energy	-19.70	eV per formula unit
excess energy over the best structure of this formula in the dataset	0	meV/atom

---

Record 2
Below is an optimized crystal structure of Mn2HgBr, with properties calculated at the PBE-GGA level.

extended XYZ file:
```
4
Lattice="-1.006 4.110 -2.631 -0.165 1.707 -4.678 -6.783 1.313 -4.331" Properties=species:S:1:pos:R:3 pbc="T T T"
Br -5.966 5.347 -8.730
Hg -1.989 1.782 -2.910
Mn -0.646 0.468 -0.815
Mn -3.331 3.097 -5.005
```

symmetry	No. 12
energy	-19.49	eV per formula unit
excess energy over the best structure of this formula in the dataset	0	meV/atom

---

Record 3
Below is an optimized crystal structure of MnHgBr6, with properties calculated at the PBE-GGA level.

extended XYZ file:
```
8
Lattice="-6.128 1.726 2.323 -4.985 -1.595 -4.472 -3.046 -6.174 0.299" Properties=species:S:1:pos:R:3 pbc="T T T"
Mn -5.556 0.065 -1.075
Hg 0.000 0.000 0.000
Br -8.745 -3.735 -0.002
Br -6.032 -0.796 1.225
Br -8.127 -5.247 -3.075
Br -5.414 -2.309 -1.849
Br -7.914 0.081 -1.557
Br -3.199 0.050 -0.592
```

symmetry	No. 12
energy	-22.80	eV per formula unit

---

Record 4
Below is an optimized crystal structure of MnHg3Br9, with properties calculated at the PBE-GGA level.

extended XYZ file:
```
26
Lattice="9.869 0.000 4.153 4.565 9.371 2.953 0.848 -0.280 11.787" Properties=species:S:1:pos:R:3 pbc="T T T"
Mn 2.796 4.780 1.907
Mn 4.692 -0.045 7.904
Hg 10.871 5.428 15.054
Hg 8.536 0.883 7.840
Hg 14.513 8.227 17.066
Hg 4.551 3.682 6.643
Hg 10.489 1.795 11.378
Hg 6.128 6.620 4.344
Br 4.090 1.385 5.708
Br 5.635 5.930 12.589
Br 4.937 2.543 13.669
Br 8.371 7.368 9.915
Br 2.744 0.425 9.248
Br 3.197 5.250 4.240
Br 11.086 6.651 6.001
Br 5.838 1.826 8.991
Br 11.503 8.373 10.160
Br 12.441 3.547 15.754
Br 9.672 7.398 14.151
Br 10.020 2.852 8.066
Br 7.368 4.462 4.397
Br 14.149 9.007 13.481
Br 11.285 4.086 11.900
Br 5.198 8.911 4.140
Br 8.851 1.078 14.236
Br 5.230 5.903 7.513
```

symmetry	No. 9
energy	-31.36	eV per formula unit

---

Record 5
Below is an optimized crystal structure of MnHg2Br4, with properties calculated at the PBE-GGA level.

extended XYZ file:
```
7
Lattice="5.897 0.000 0.000 0.000 5.897 0.000 2.949 2.949 6.534" Properties=species:S:1:pos:R:3 pbc="T T T"
Mn 0.000 0.000 0.000
Hg 5.897 5.897 5.178
Hg 2.949 2.949 1.356
Br 5.897 5.897 2.514
Br 2.949 2.949 4.021
Br 0.000 2.949 0.000
Br 2.949 0.000 0.000
```

symmetry	No. 139
energy	-18.79	eV per formula unit

---

Record 6
Below is an optimized crystal structure of Mn2HgBr, with properties calculated at the PBE-GGA level.

extended XYZ file:
```
4
Lattice="5.547 -0.005 0.011 1.487 5.344 -0.011 -2.480 -4.035 2.887" Properties=species:S:1:pos:R:3 pbc="T T T"
Br 1.262 1.989 1.438
Hg 3.292 -0.685 1.449
Mn 0.058 0.044 0.000
Mn 3.459 2.626 0.000
```

symmetry	No. 71
energy	-18.64	eV per formula unit
excess energy over the best structure of this formula in the dataset	212	meV/atom

---

Record 7
Below is an optimized crystal structure of MnHg2Br, with properties calculated at the PBE-GGA level.

extended XYZ file:
```
4
Lattice="-1.069 3.027 -4.665 -4.173 -1.403 3.562 0.547 3.047 1.847" Properties=species:S:1:pos:R:3 pbc="T T T"
Br -1.813 0.822 2.705
Hg 0.000 0.000 0.000
Hg -2.621 0.812 -0.551
Mn -0.261 3.037 -1.409
```

symmetry	No. 12
energy	-10.65	eV per formula unit
excess energy over the best structure of this formula in the dataset	223	meV/atom

---

Record 8
Below is an optimized crystal structure of MnHg2Br, with properties calculated at the PBE-GGA level.

extended XYZ file:
```
4
Lattice="6.628 -0.023 0.000 4.072 5.230 0.000 -5.350 -2.603 2.921" Properties=species:S:1:pos:R:3 pbc="T T T"
Br 3.314 -0.012 1.460
Hg 0.000 0.000 0.000
Hg 5.350 2.603 0.000
Mn 2.036 2.615 1.460
```

symmetry	No. 139
energy	-10.66	eV per formula unit
excess energy over the best structure of this formula in the dataset	220	meV/atom

---

Record 9
Below is an optimized crystal structure of MnHg2Br, with properties calculated at the PBE-GGA level.

extended XYZ file:
```
4
Lattice="5.356 -0.027 0.067 4.156 3.379 0.067 2.481 0.874 6.269" Properties=species:S:1:pos:R:3 pbc="T T T"
Br 9.702 3.419 4.527
Hg 9.593 3.380 0.629
Hg 2.746 0.968 1.887
Mn 5.462 1.925 2.696
```

symmetry	No. 8
energy	-11.54	eV per formula unit
excess energy over the best structure of this formula in the dataset	2	meV/atom

---

Record 10
Below is an optimized crystal structure of Mn2HgBr, with properties calculated at the PBE-GGA level.

extended XYZ file:
```
4
Lattice="6.715 0.020 -0.007 4.439 5.039 0.007 -5.212 -3.334 2.610" Properties=species:S:1:pos:R:3 pbc="T T T"
Br 4.988 2.263 0.000
Hg 3.157 -0.566 1.301
Mn 0.845 0.383 0.000
Mn 2.529 2.175 1.309
```

symmetry	No. 44
energy	-19.18	eV per formula unit
excess energy over the best structure of this formula in the dataset	78	meV/atom

---

Record 11
Below is an optimized crystal structure of Mn2HgBr, with properties calculated at the PBE-GGA level.

extended XYZ file:
```
4
Lattice="5.000 0.024 0.000 -1.019 4.895 0.000 0.000 0.000 3.194" Properties=species:S:1:pos:R:3 pbc="T T T"
Br 2.500 0.012 1.597
Hg -0.510 2.447 1.597
Mn 0.000 0.000 0.000
Mn 1.990 2.460 0.000
```

symmetry	No. 65
energy	-18.56	eV per formula unit
excess energy over the best structure of this formula in the dataset	233	meV/atom

---

Record 12
Below is an optimized crystal structure of Na2MnHgBr4, with properties calculated at the PBE-GGA level.

extended XYZ file:
```
8
Lattice="4.142 0.000 0.000 2.071 6.642 0.677 2.071 2.123 9.479" Properties=species:S:1:pos:R:3 pbc="T T T"
Na 6.213 6.017 7.984
Na 2.071 2.748 2.173
Mn 0.000 0.000 0.000
Hg 4.142 4.382 5.078
Br 4.142 7.976 7.696
Br 4.142 3.933 8.839
Br 4.142 0.789 2.461
Br 4.142 4.832 1.317
```

symmetry	No. 12
energy	-26.76	eV per formula unit

---

Record 13
Below is an optimized crystal structure of NaMnHg2Br8, with properties calculated at the PBE-GGA level.

extended XYZ file:
```
12
Lattice="6.905 -0.835 0.283 -0.758 7.223 0.865 0.311 1.270 8.451" Properties=species:S:1:pos:R:3 pbc="T T T"
Na 0.156 0.635 4.225
Mn 0.000 0.000 0.000
Hg 3.634 2.498 6.269
Hg 2.825 5.160 3.330
Br 0.277 5.757 3.112
Br 4.228 4.779 1.100
Br 5.768 0.606 1.844
Br 6.182 1.901 6.487
Br 2.231 2.878 8.499
Br 0.690 7.051 7.755
Br 3.772 5.464 5.768
Br 2.687 2.193 3.832
```

symmetry	No. 2
energy	-32.67	eV per formula unit

---

Record 14
Below is an optimized crystal structure of RbMnHgBr5, with properties calculated at the PBE-GGA level.

extended XYZ file:
```
16
Lattice="-4.852 4.971 -4.143 -4.725 -4.985 4.270 3.681 5.943 6.977" Properties=species:S:1:pos:R:3 pbc="T T T"
Rb -3.850 0.025 3.036
Rb -2.046 5.904 4.068
Mn -3.892 3.337 0.237
Mn -2.004 2.591 6.867
Hg 1.840 2.971 3.489
Hg 0.000 0.000 0.000
Br -3.816 -2.684 5.325
Br -2.081 8.612 1.779
Br -5.540 3.583 -1.627
Br -0.356 2.345 8.732
Br -2.271 5.241 0.286
Br -3.625 0.687 6.819
Br -4.895 3.344 2.530
Br -1.002 2.585 4.574
Br -2.861 1.093 -0.164
Br -3.036 4.836 7.269
```

symmetry	No. 15
energy	-25.93	eV per formula unit

---

Record 15
Below is an optimized crystal structure of Rb2MnHgBr6, with properties calculated at the PBE-GGA level.

extended XYZ file:
```
10
Lattice="8.068 0.092 0.233 4.118 6.749 -0.091 4.245 2.084 6.318" Properties=species:S:1:pos:R:3 pbc="T T T"
Rb 8.099 4.405 1.962
Rb 4.292 2.219 5.099
Mn 12.285 6.733 3.599
Hg 4.067 2.273 0.366
Br 6.366 1.216 2.191
Br 6.077 7.264 1.665
Br 3.549 4.158 2.100
Br 10.430 6.107 5.304
Br 8.839 2.465 4.961
Br 6.023 5.410 4.869
```

symmetry	No. 2
energy	-32.01	eV per formula unit

---

Record 16
Below is an optimized crystal structure of RbMn2HgBr8, with properties calculated at the PBE-GGA level.

extended XYZ file:
```
12
Lattice="-1.457 -5.868 -3.515 3.021 -0.355 6.297 -8.809 -0.332 4.208" Properties=species:S:1:pos:R:3 pbc="T T T"
Rb 0.000 0.000 0.000
Mn -2.245 -4.116 0.845
Mn -5.000 -2.439 6.145
Hg -4.405 -0.166 2.104
Br -7.151 -2.520 7.173
Br -2.326 -2.123 2.277
Br -0.810 -4.411 5.269
Br -0.095 -4.035 -0.182
Br -6.435 -2.144 1.722
Br -4.920 -4.432 4.713
Br -6.443 -6.190 1.386
Br -0.802 -0.365 5.605
```

symmetry	No. 147
energy	-42.24	eV per formula unit

---

Record 17
Below is an optimized crystal structure of MnHgSe2Br, with properties calculated at the PBE-GGA level.

extended XYZ file:
```
5
Lattice="4.644 0.000 0.000 0.000 4.644 0.000 0.000 0.000 5.376" Properties=species:S:1:pos:R:3 pbc="T T T"
Mn 0.000 0.000 0.000
Se 0.000 2.322 0.000
Se 2.322 0.000 0.000
Hg 2.322 2.322 2.688
Br 0.000 0.000 2.688
```

symmetry	No. 123
energy	-17.19	eV per formula unit
excess energy over the best structure of this formula in the dataset	0	meV/atom

---

Record 18
Below is an optimized crystal structure of MnHgSeBr2, with properties calculated at the PBE-GGA level.

extended XYZ file:
```
5
Lattice="4.997 0.000 0.000 0.000 4.997 0.000 0.000 0.000 5.315" Properties=species:S:1:pos:R:3 pbc="T T T"
Mn 0.000 0.000 0.000
Se 0.000 0.000 2.657
Hg 2.499 2.499 2.657
Br 0.000 2.499 0.000
Br 2.499 0.000 0.000
```

symmetry	No. 123
energy	-17.04	eV per formula unit
excess energy over the best structure of this formula in the dataset	0	meV/atom

---

Record 19
Below is an optimized crystal structure of TaMnHgBr2, with properties calculated at the PBE-GGA level.

extended XYZ file:
```
5
Lattice="5.158 0.000 0.000 0.000 5.234 0.000 0.000 0.000 5.158" Properties=species:S:1:pos:R:3 pbc="T T T"
Mn 0.000 2.617 0.000
Hg 2.579 2.617 2.579
Br 0.000 0.000 2.579
Br 2.579 0.000 0.000
Ta 0.000 0.000 0.000
```

symmetry	No. 123
energy	-22.72	eV per formula unit

---

Record 20
Below is an optimized crystal structure of MnHg2TeBr, with properties calculated at the PBE-GGA level.

extended XYZ file:
```
5
Lattice="5.383 0.000 0.000 0.000 4.925 0.000 0.000 0.000 5.383" Properties=species:S:1:pos:R:3 pbc="T T T"
Mn 0.000 0.000 0.000
Te 0.000 2.463 0.000
Hg 0.000 0.000 2.691
Hg 2.691 0.000 0.000
Br 2.691 2.463 2.691
```

symmetry	No. 123
energy	-14.05	eV per formula unit

---

no.,calculated volume (Å³ per cell)
1,191.17
2,98.84
3,258.40
4,1059.90
5,227.26
6,85.43
7,99.34
8,101.53
9,113.51
10,88.16
11,78.24
12,254.80
13,407.37
14,574.18
15,338.45
16,413.76
17,115.93
18,132.72
19,139.25
20,142.69